(1)
The following is a DFT calculation (PBE) of a relaxed structure of GaFeCoCu.

Structure (POSCAR):
```
GaFeCoCu
1.0
-0.2014 3.2586 2.4823
-3.2584 0.5248 2.4349
0.3712 -0.4855 4.0556
Fe Cu Co Ga
1 1 1 1
Direct
0.0000 0.0000 0.0000
0.2500 0.2500 0.2500
0.7500 0.7500 0.7500
0.5000 0.5000 0.5000
```

Computed properties:
The space-group type is F-43m (216).

---

(2)
The following is a DFT calculation (PBE) of a relaxed structure of Ba2AlW.

Structure (POSCAR):
```
Ba2AlW
1.0
3.2397 0.0000 0.0000
0.0000 3.2397 0.0000
0.0000 0.0000 10.8151
W Ba Al
1 2 1
Direct
0.5000 0.5000 0.2500
0.0000 0.0000 0.0064
0.0000 0.0000 0.4936
0.5000 0.5000 0.7500
```

Computed properties:
The space-group type is P4/mmm (123).

---

(3)
The following is a DFT calculation (PBE) of a relaxed structure of TiHgBi3.

Structure (POSCAR):
```
TiHgBi3
1.0
5.6266 0.0000 0.0000
0.0000 5.6266 0.0000
0.0000 0.0000 5.6266
Bi Hg Ti
3 1 1
Direct
0.5000 0.0000 0.0000
0.0000 0.5000 0.0000
0.0000 0.0000 0.5000
0.0000 0.0000 0.0000
0.5000 0.5000 0.5000
```

Computed properties:
As for the relative energy among the computed polymorphs: 935 meV per atom. The space-group type is Pm-3m (221).

---

(4)
The following is a DFT calculation (PBE) of a relaxed structure of Pr2Dy5YEr.

Structure (POSCAR):
```
Pr2Dy5YEr
1.0
-5.3814 -0.9731 -6.6540
6.2464 -3.8800 -4.4844
-2.7313 -4.6128 8.4578
Dy Y Pr Er
10 2 4 2
Direct
0.4274 0.3558 0.2832
0.3558 0.8558 0.2832
0.5726 0.6442 0.7168
0.0000 0.0000 0.0000
0.6442 0.1442 0.7168
0.0726 0.5726 0.7168
0.1442 0.0726 0.7168
0.8558 0.9274 0.2832
0.5000 0.5000 0.0000
0.9274 0.4274 0.2832
0.7500 0.7500 0.5000
0.2500 0.2500 0.5000
0.6190 0.1190 0.0000
0.3810 0.8810 0.0000
0.8810 0.6190 0.0000
0.1190 0.3810 0.0000
0.2500 0.7500 0.5000
0.7500 0.2500 0.5000
```

Computed properties:
The space-group type is I4/mcm (140).

---

(5)
The following is a DFT calculation (PBE) of a relaxed structure of Sm7Dy6Y16.

Structure (POSCAR):
```
Sm7Dy6Y16
1.0
9.6032 0.0000 5.5444
3.2011 9.0540 5.5444
0.0000 0.0000 11.0889
Dy Sm Y
6 7 16
Direct
0.2233 0.7767 0.2233
0.7767 0.2233 0.2233
0.2233 0.7767 0.7767
0.7767 0.2233 0.7767
0.7767 0.7767 0.2233
0.2233 0.2233 0.7767
0.0000 0.0000 0.0000
0.0000 0.5000 0.5000
0.5000 0.5000 0.0000
0.0000 0.5000 0.0000
0.5000 0.0000 0.0000
0.0000 0.0000 0.5000
0.5000 0.0000 0.5000
0.3867 0.3867 0.3867
0.1602 0.6133 0.6133
0.8506 0.8506 0.8506
0.3867 0.3867 0.8398
0.6133 0.1602 0.6133
0.6133 0.6133 0.1602
0.4482 0.8506 0.8506
0.6133 0.6133 0.6133
0.1494 0.5518 0.1494
0.8506 0.4482 0.8506
0.3867 0.8398 0.3867
0.8398 0.3867 0.3867
0.8506 0.8506 0.4482
0.5518 0.1494 0.1494
0.1494 0.1494 0.5518
0.1494 0.1494 0.1494
```

Computed properties:
The space-group type is Fm-3m (225).

---

(6)
The following is a DFT calculation (PBE) of a relaxed structure of NiMoIrRh2.

Structure (POSCAR):
```
NiMoIrRh2
1.0
-2.6699 -3.2436 2.0940
1.6207 -3.1373 -2.7931
3.4714 -0.9025 3.0281
Rh Ni Ir Mo
2 1 1 1
Direct
0.0000 0.0000 0.5000
0.5000 0.0000 0.0000
0.0000 0.5000 0.0000
0.0000 0.0000 0.0000
0.5000 0.5000 0.5000
```

Computed properties:
The space-group type is P4/mmm (123).

---

In μB per formula unit, the total moment values for the records above are, in order, 3.92 0.00 0.17 0.00 0.00 3.93.
In Å³ per cell, the V values for the records above are, in order, 49 114 178 590 964 99.
In meV/atom, the energy of formation values for the records above are, in order, -53.2 1010.4 1093.5 269.9 178.9 1630.9.